# Ti3CuPd, optimized geometry, DFT PBE
# Excess energy over the best structure of this formula in the dataset = 747 meV per atom
# Uncorrected energy = -30.01 eV/cell
# Density of states at the Fermi level = 7.6 states/eV per cell
# Spin magnetization = 1.8 μB per formula unit
# Formation energy = 0.593 eV per atom
data_Ti3CuPd
_cell_length_a 4.550
_cell_length_b 4.550
_cell_length_c 4.550
_cell_angle_alpha 90.00
_cell_angle_beta 90.00
_cell_angle_gamma 90.00
_space_group_name_H-M_alt 'P 1'
_space_group_IT_number 1
loop_
_space_group_symop_operation_xyz
'x,y,z'
loop_
_atom_site_label
_atom_site_type_symbol
_atom_site_fract_x
_atom_site_fract_y
_atom_site_fract_z
Ti1 Ti 0.000 0.000 0.500
Ti2 Ti 0.000 0.500 0.000
Ti3 Ti 0.500 0.000 0.000
Cu1 Cu 0.000 0.000 0.000
Pd1 Pd 0.500 0.500 0.500